First-principles (GGA+U) data for CdNiSF2 after structural relaxation, as listed in Alexandria via LeMat-Bulk.

Geometry as POSCAR:
```
CdNiSF2
1.0
3.899 0.000 0.000
0.000 3.899 0.000
0.000 0.000 5.983
Cd Ni S F
1 1 1 2
direct
0.000 0.000 0.000
0.500 0.500 0.000
0.000 0.000 0.500
0.000 0.500 0.500
0.500 0.000 0.500
```

Calculated density = 4.40 g/cm3
Crystal system = tetragonal
E = -2.07 eV per atom
Magnetization = 0.0 Bohr magnetons per cell